Entry 1:
# RbAcMgS3 (PBE, optimized geometry)
# calculated total energy	-4.853	eV per atom
# D(E_F)	0.0	states/eV/f.u.
data_RbAcMgS3
_symmetry_space_group_name_H-M 'P 1 21/m 1'
_symmetry_Int_Tables_number 11
_cell_length_a 9.386
_cell_length_b 4.388
_cell_length_c 10.032
_cell_angle_alpha 90.00
_cell_angle_beta 103.08
_cell_angle_gamma 90.00
loop_
_symmetry_equiv_pos_as_xyz
'x,y,z'
'-x,-y,-z'
'-x,y+1/2,-z'
'x,-y+1/2,z'
loop_
_atom_site_label
_atom_site_type_symbol
_atom_site_fract_x
_atom_site_fract_y
_atom_site_fract_z
_atom_site_occupancy
Rb1 Rb 0.181 0.250 0.204 1
Ac1 Ac 0.341 0.750 0.846 1
Mg1 Mg 0.081 0.250 0.602 1
S1 S 0.124 0.250 0.847 1
S2 S 0.175 0.750 0.532 1
S3 S 0.443 0.750 0.146 1

=====

Entry 2:
# Rb3Ac2MgSe6 (PBE, optimized geometry)
# calculated total energy	-4.252	eV per atom
# D(E_F)	20.9	states/eV/f.u.
data_Rb3Ac2MgSe6
_symmetry_space_group_name_H-M 'C 1 2/m 1'
_symmetry_Int_Tables_number 12
_cell_length_a 7.692
_cell_length_b 13.344
_cell_length_c 8.499
_cell_angle_alpha 90.00
_cell_angle_beta 107.66
_cell_angle_gamma 90.00
loop_
_symmetry_equiv_pos_as_xyz
'x,y,z'
'-x,-y,-z'
'-x,y,-z'
'x,-y,z'
'x+1/2,y+1/2,z'
'-x+1/2,-y+1/2,-z'
'-x+1/2,y+1/2,-z'
'x+1/2,-y+1/2,z'
loop_
_atom_site_label
_atom_site_type_symbol
_atom_site_fract_x
_atom_site_fract_y
_atom_site_fract_z
_atom_site_occupancy
Rb1 Rb 0.000 0.000 0.000 1
Rb2 Rb 0.000 0.331 0.000 1
Ac1 Ac 0.000 0.166 0.500 1
Mg1 Mg 0.000 0.500 0.500 1
Se1 Se 0.223 0.344 0.701 1
Se2 Se 0.244 0.500 0.298 1

=====

Entry 3:
# Ac2MgRe (PBE, optimized geometry)
# D(E_F)	4.6	states/eV/f.u.
# calculated formation energy	1107.0	meV per atom
data_Ac2MgRe
_symmetry_space_group_name_H-M 'R -3 m'
_symmetry_Int_Tables_number 166
_symmetry_space_group_name_Hall '-R 3 2"'
_cell_length_a 3.4672
_cell_length_b 3.4672
_cell_length_c 35.3214
_cell_angle_alpha 90.00
_cell_angle_beta 90.00
_cell_angle_gamma 120.00
loop_
_atom_site_label
_atom_site_type_symbol
_atom_site_fract_x
_atom_site_fract_y
_atom_site_fract_z
_atom_site_occupancy
Ac1 Ac 0.0000 0.0000 0.0775 1
Mg1 Mg 0.0000 0.0000 0.5000 1
Re1 Re 0.0000 0.0000 0.0000 1

=====

Entry 4:
# Ac4MgRh2 (PBE, optimized geometry)
# D(E_F)	5.3	states/eV/f.u.
# calculated formation energy	-405.2	meV per atom
data_Ac4MgRh2
_symmetry_space_group_name_H-M 'P 1'
_symmetry_Int_Tables_number 1
_cell_length_a 7.937
_cell_length_b 7.966
_cell_length_c 8.502
_cell_angle_alpha 105.20
_cell_angle_beta 105.39
_cell_angle_gamma 94.80
loop_
_symmetry_equiv_pos_as_xyz
'x,y,z'
loop_
_atom_site_label
_atom_site_type_symbol
_atom_site_fract_x
_atom_site_fract_y
_atom_site_fract_z
_atom_site_occupancy
Ac1 Ac 0.000 0.000 0.000 1
Ac2 Ac 0.001 0.005 0.498 1
Ac3 Ac 0.007 0.488 0.381 1
Ac4 Ac 0.416 0.424 0.205 1
Ac5 Ac 0.455 0.923 0.838 1
Ac6 Ac 0.468 0.947 0.348 1
Ac7 Ac 0.469 0.369 0.709 1
Ac8 Ac 0.991 0.462 0.857 1
Mg1 Mg 0.724 0.719 0.607 1
Mg2 Mg 0.745 0.696 0.111 1
Rh1 Rh 0.113 0.717 0.202 1
Rh2 Rh 0.226 0.210 0.357 1
Rh3 Rh 0.233 0.196 0.857 1
Rh4 Rh 0.718 0.084 0.702 1

=====

Entry 5:
# Ac2Mg5Rh4 (PBE, optimized geometry)
# D(E_F)	6.0	states/eV/f.u.
# calculated formation energy	-396.0	meV per atom
data_Ac2Mg5Rh4
_symmetry_space_group_name_H-M 'F m m m'
_symmetry_Int_Tables_number 69
_symmetry_space_group_name_Hall '-F 2 2'
_cell_length_a 5.894
_cell_length_b 11.547
_cell_length_c 14.452
_cell_angle_alpha 90.00
_cell_angle_beta 90.00
_cell_angle_gamma 90.00
loop_
_atom_site_label
_atom_site_type_symbol
_atom_site_fract_x
_atom_site_fract_y
_atom_site_fract_z
_atom_site_occupancy
Ac1 Ac 0.000 0.000 0.156 1
Mg1 Mg 0.000 0.000 0.500 1
Mg2 Mg 0.250 0.250 0.000 1
Mg3 Mg 0.250 0.250 0.250 1
Rh1 Rh 0.000 0.126 0.360 1

=====

Entry 6:
# Ac2MgRh (PBE, optimized geometry)
# D(E_F)	3.9	states/eV/f.u.
# calculated formation energy	-305.6	meV per atom
data_Ac2MgRh
_symmetry_space_group_name_H-M 'P 4/m m m'
_symmetry_Int_Tables_number 123
_symmetry_space_group_name_Hall '-P 4 2'
_cell_length_a 3.808
_cell_length_b 3.808
_cell_length_c 8.415
_cell_angle_alpha 90.00
_cell_angle_beta 90.00
_cell_angle_gamma 90.00
loop_
_atom_site_label
_atom_site_type_symbol
_atom_site_fract_x
_atom_site_fract_y
_atom_site_fract_z
_atom_site_occupancy
Ac1 Ac 0.000 0.000 0.210 1
Mg1 Mg 0.500 0.500 0.500 1
Rh1 Rh 0.500 0.500 0.000 1

=====

Entry 7:
# Ac2MgRh2 (PBE, optimized geometry)
# D(E_F)	3.6	states/eV/f.u.
# calculated formation energy	-584.3	meV per atom
# energy relative to the lowest polymorph listed for this composition	0	meV per atom
data_Ac2MgRh2
_symmetry_space_group_name_H-M 'I m m m'
_symmetry_Int_Tables_number 71
_symmetry_space_group_name_Hall '-I 2 2'
_cell_length_a 4.358
_cell_length_b 6.294
_cell_length_c 9.200
_cell_angle_alpha 90.00
_cell_angle_beta 90.00
_cell_angle_gamma 90.00
loop_
_atom_site_label
_atom_site_type_symbol
_atom_site_fract_x
_atom_site_fract_y
_atom_site_fract_z
_atom_site_occupancy
Ac1 Ac 0.000 0.000 0.198 1
Mg1 Mg 0.000 0.500 0.000 1
Rh1 Rh 0.000 0.262 0.500 1

=====

Entry 8:
# AcMg4Rh2 (PBE, optimized geometry)
# D(E_F)	2.0	states/eV/f.u.
# calculated formation energy	-457.9	meV per atom
# energy relative to the lowest polymorph listed for this composition	0	meV per atom
data_AcMg4Rh2
_symmetry_space_group_name_H-M 'P 42/m n m'
_symmetry_Int_Tables_number 136
_symmetry_space_group_name_Hall '-P 4n 2n'
_cell_length_a 8.371
_cell_length_b 8.371
_cell_length_c 4.251
_cell_angle_alpha 90.00
_cell_angle_beta 90.00
_cell_angle_gamma 90.00
loop_
_atom_site_label
_atom_site_type_symbol
_atom_site_fract_x
_atom_site_fract_y
_atom_site_fract_z
_atom_site_occupancy
Ac1 Ac 0.000 0.000 0.000 1
Mg1 Mg 0.095 0.339 0.500 1
Rh1 Rh 0.206 0.794 0.500 1

=====

Entry 9:
# Ac8MgRh2 (PBE, optimized geometry)
# D(E_F)	13.2	states/eV/f.u.
# calculated formation energy	-196.9	meV per atom
data_Ac8MgRh2
_symmetry_space_group_name_H-M 'C 1 m 1'
_symmetry_Int_Tables_number 8
_cell_length_a 9.347
_cell_length_b 14.841
_cell_length_c 6.141
_cell_angle_alpha 90.00
_cell_angle_beta 103.72
_cell_angle_gamma 90.00
loop_
_symmetry_equiv_pos_as_xyz
'x,y,z'
'x,-y,z'
'x+1/2,y+1/2,z'
'x+1/2,-y+1/2,z'
loop_
_atom_site_label
_atom_site_type_symbol
_atom_site_fract_x
_atom_site_fract_y
_atom_site_fract_z
_atom_site_occupancy
Ac1 Ac 0.000 0.000 0.000 1
Ac2 Ac 0.103 0.371 0.772 1
Ac3 Ac 0.184 0.129 0.628 1
Ac4 Ac 0.288 0.500 0.401 1
Ac5 Ac 0.393 0.247 0.200 1
Mg1 Mg 0.394 0.000 0.199 1
Rh1 Rh 0.393 0.286 0.700 1

=====

Entry 10:
# AcMg2Rh2 (PBE, optimized geometry)
# D(E_F)	2.8	states/eV/f.u.
# calculated formation energy	-527.8	meV per atom
# energy relative to the lowest polymorph listed for this composition	0	meV per atom
data_AcMg2Rh2
_symmetry_space_group_name_H-M 'I 4/m m m'
_symmetry_Int_Tables_number 139
_symmetry_space_group_name_Hall '-I 4 2'
_cell_length_a 4.244
_cell_length_b 4.244
_cell_length_c 11.982
_cell_angle_alpha 90.00
_cell_angle_beta 90.00
_cell_angle_gamma 90.00
loop_
_atom_site_label
_atom_site_type_symbol
_atom_site_fract_x
_atom_site_fract_y
_atom_site_fract_z
_atom_site_occupancy
Ac1 Ac 0.000 0.000 0.000 1
Mg1 Mg 0.000 0.500 0.250 1
Rh1 Rh 0.000 0.000 0.391 1

=====

Entry 11:
# Ac2MgRh2 (PBE, optimized geometry)
# D(E_F)	2.9	states/eV/f.u.
# calculated formation energy	-543.0	meV per atom
# energy relative to the lowest polymorph listed for this composition	41	meV per atom
data_Ac2MgRh2
_symmetry_space_group_name_H-M 'I b a m'
_symmetry_Int_Tables_number 72
_symmetry_space_group_name_Hall '-I 2 2c'
_cell_length_a 7.929
_cell_length_b 11.275
_cell_length_c 6.024
_cell_angle_alpha 90.00
_cell_angle_beta 90.00
_cell_angle_gamma 90.00
loop_
_atom_site_label
_atom_site_type_symbol
_atom_site_fract_x
_atom_site_fract_y
_atom_site_fract_z
_atom_site_occupancy
Ac1 Ac 0.153 0.150 0.000 1
Mg1 Mg 0.000 0.500 0.250 1
Rh1 Rh 0.246 0.102 0.500 1

=====

Entry 12:
# Ac3Mg9Rh2 (PBE, optimized geometry)
# D(E_F)	7.9	states/eV/f.u.
# calculated formation energy	-208.5	meV per atom
data_Ac3Mg9Rh2
_symmetry_space_group_name_H-M 'I m m m'
_symmetry_Int_Tables_number 71
_symmetry_space_group_name_Hall '-I 2 2'
_cell_length_a 5.103
_cell_length_b 10.998
_cell_length_c 12.733
_cell_angle_alpha 90.00
_cell_angle_beta 90.00
_cell_angle_gamma 90.00
loop_
_atom_site_label
_atom_site_type_symbol
_atom_site_fract_x
_atom_site_fract_y
_atom_site_fract_z
_atom_site_occupancy
Ac1 Ac 0.000 0.000 0.000 1
Ac2 Ac 0.000 0.000 0.307 1
Mg1 Mg 0.000 0.283 0.122 1
Mg2 Mg 0.000 0.351 0.366 1
Mg3 Mg 0.000 0.500 0.000 1
Rh1 Rh 0.000 0.155 0.500 1

=====

- Which formula does entry 9 have?
  Ac8MgRh2